Entry 1:
# Cd2CoAg (PBE-GGA, optimized geometry)
data_Cd2CoAg
_chemical_formula_sum 'Cd2 Co1 Ag1'
_symmetry_space_group_name_H-M 'P 1'
_symmetry_Int_Tables_number 1
_symmetry_space_group_name_Hall 'P 1'
_cell_length_a 4.8630
_cell_length_b 4.8630
_cell_length_c 5.3583
_cell_angle_alpha 98.72
_cell_angle_beta 98.72
_cell_angle_gamma 34.47
loop_
_atom_site_label
_atom_site_fract_x
_atom_site_fract_y
_atom_site_fract_z
Cd1 0.2435 0.2435 0.2374
Cd2 0.7565 0.7565 0.7626
Co1 0.5000 0.5000 0.0000
Ag1 0.0000 0.0000 0.5000
# * formation energy from the elements: 0.262 eV/atom
# * ρ: 9.184 g cm⁻³
# * M_tot: 1.5 Bohr magnetons per cell
# * space group: No. 12

Entry 2:
# ScAsP2 (PBE-GGA, optimized geometry)
data_ScAsP2
_chemical_formula_sum 'Sc1 As1 P2'
_symmetry_space_group_name_H-M 'P 1'
_symmetry_Int_Tables_number 1
_symmetry_space_group_name_Hall 'P 1'
_cell_length_a 3.6325
_cell_length_b 3.6325
_cell_length_c 5.3728
_cell_angle_alpha 90.00
_cell_angle_beta 90.00
_cell_angle_gamma 90.00
loop_
_atom_site_label
_atom_site_fract_x
_atom_site_fract_y
_atom_site_fract_z
Sc1 0.0000 0.0000 0.0000
As1 0.0000 0.0000 0.5000
P1 0.5000 0.5000 0.2084
P2 0.5000 0.5000 0.7916
# * formation energy from the elements: -0.336 eV/atom
# * ρ: 4.259 g cm⁻³
# * M_tot: 0.0 Bohr magnetons per cell
# * space group: No. 123

Entry 3:
# CrRu2Br (PBE-GGA, optimized geometry)
data_CrRu2Br
_chemical_formula_sum 'Cr1 Ru2 Br1'
_symmetry_space_group_name_H-M 'P 1'
_symmetry_Int_Tables_number 1
_symmetry_space_group_name_Hall 'P 1'
_cell_length_a 4.3545
_cell_length_b 4.3545
_cell_length_c 4.3545
_cell_angle_alpha 60.00
_cell_angle_beta 60.00
_cell_angle_gamma 60.00
loop_
_atom_site_label
_atom_site_fract_x
_atom_site_fract_y
_atom_site_fract_z
Cr1 0.0000 0.0000 0.0000
Ru1 0.2500 0.2500 0.2500
Ru2 0.5000 0.5000 0.5000
Br1 0.7500 0.7500 0.7500
# * excess energy over the best structure of this formula in the dataset: 46.2 kJ/mol of atoms
# * ρ: 9.500 g cm⁻³
# * M_tot: 0.0 Bohr magnetons per cell
# * ΔE_f (raw): 22.94 kcal/mol of atoms
# * space group: No. 216

Entry 4:
# Sm2TmN3 (PBE-GGA, optimized geometry)
data_Sm2TmN3
_chemical_formula_sum 'Sm2 Tm1 N3'
_symmetry_space_group_name_H-M 'P 1'
_symmetry_Int_Tables_number 1
_symmetry_space_group_name_Hall 'P 1'
_cell_length_a 7.8942
_cell_length_b 7.8942
_cell_length_c 7.8942
_cell_angle_alpha 154.13
_cell_angle_beta 154.13
_cell_angle_gamma 36.91
loop_
_atom_site_label
_atom_site_fract_x
_atom_site_fract_y
_atom_site_fract_z
Sm1 0.1638 0.1638 0.0000
Sm2 0.8362 0.8362 0.0000
Tm1 0.5000 0.5000 0.0000
N1 0.0000 0.0000 0.0000
N2 0.3388 0.3388 0.0000
N3 0.6612 0.6612 0.0000
# * ρ: 9.086 g cm⁻³
# * M_tot: 0.0 Bohr magnetons per cell
# * ΔE_f (raw): -36.14 kcal/mol of atoms
# * space group: No. 139

Entry 5:
# PmNd3Rh (PBE-GGA, optimized geometry)
data_PmNd3Rh
_chemical_formula_sum 'Pm4 Nd12 Rh4'
_symmetry_space_group_name_H-M 'P 1'
_symmetry_Int_Tables_number 1
_symmetry_space_group_name_Hall 'P 1'
_cell_length_a 11.3395
_cell_length_b 3.8462
_cell_length_c 14.4598
_cell_angle_alpha 90.00
_cell_angle_beta 90.00
_cell_angle_gamma 90.00
loop_
_atom_site_label
_atom_site_fract_x
_atom_site_fract_y
_atom_site_fract_z
Pm1 0.2148 0.2500 0.0039
Pm2 0.2852 0.7500 0.5039
Pm3 0.7148 0.2500 0.4961
Pm4 0.7852 0.7500 0.9961
Nd1 0.0153 0.2500 0.6049
Nd2 0.0459 0.7500 0.8273
Nd3 0.2134 0.7500 0.2306
Nd4 0.2866 0.2500 0.7306
Nd5 0.4541 0.2500 0.3273
Nd6 0.4847 0.7500 0.1049
Nd7 0.5153 0.2500 0.8951
Nd8 0.5459 0.7500 0.6727
Nd9 0.7134 0.7500 0.2694
Nd10 0.7866 0.2500 0.7694
Nd11 0.9541 0.2500 0.1727
Nd12 0.9847 0.7500 0.3951
Rh1 0.1870 0.2500 0.3800
Rh2 0.3130 0.7500 0.8800
Rh3 0.6870 0.2500 0.1200
Rh4 0.8130 0.7500 0.6200
# * excess energy over the best structure of this formula in the dataset: 0.0 kJ/mol of atoms
# * formation energy from the elements: -0.266 eV/atom
# * ρ: 7.169 g cm⁻³
# * M_tot: 0.0 Bohr magnetons per cell
# * space group: No. 62

Entry 6:
# TiNb2Sn (PBE-GGA, optimized geometry)
data_TiNb2Sn
_chemical_formula_sum 'Ti1 Nb2 Sn1'
_symmetry_space_group_name_H-M 'P 1'
_symmetry_Int_Tables_number 1
_symmetry_space_group_name_Hall 'P 1'
_cell_length_a 2.8827
_cell_length_b 5.2486
_cell_length_c 5.2486
_cell_angle_alpha 103.61
_cell_angle_beta 90.00
_cell_angle_gamma 90.00
loop_
_atom_site_label
_atom_site_fract_x
_atom_site_fract_y
_atom_site_fract_z
Ti1 0.0000 0.0000 0.0000
Nb1 0.0000 0.0929 0.5136
Nb2 0.0000 0.5136 0.0929
Sn1 0.5000 0.6045 0.6045
# * formation energy from the elements: 0.270 eV/atom
# * ρ: 7.582 g cm⁻³
# * M_tot: 0.0 Bohr magnetons per cell
# * space group: No. 38